(1)
A plane-wave DFT calculation with PBE was carried out for a relaxed HfThTc crystal.

- energy above the lowest structure with this stoichiometry (eV per atom) = 0.072

Cell: 3.398 3.398 6.314 Å, 105.61 105.61 90.00°
Element x y z (fractional)
1 Hf 0.304 0.304 0.609
2 Tc 0.678 0.678 0.357
3 Th 0.017 0.017 0.035


(2)
A plane-wave DFT calculation with PBE was carried out for a relaxed HfThTc4 crystal.

Cell: 5.392 5.392 5.392 Å, 60.00 60.00 60.00°
Element x y z (fractional)
1 Tc 0.123 0.626 0.626
2 Th 0.250 0.250 0.250
3 Tc 0.626 0.626 0.626
4 Tc 0.626 0.626 0.123
5 Hf 0.000 0.000 0.000
6 Tc 0.626 0.123 0.626


Number 1: DFT formation energy -0.106 eV per atom. Number 2: DFT formation energy -0.105 eV per atom.